Computed, not measured: Sr3H3N after structural relaxation at the PBE level of DFT.

abc: 7.1421 7.1421 6.7177
angles: 92.28 92.28 115.98
With the nearest neighbours (Å) after each atom.
Fractional coordinates of all 14 atoms:
1 Sr 0.1036 0.1036 0.2806  2 N 2.37-2.42, 1 H 2.50
2 Sr 0.1986 0.4941 0.7654  1 N 2.27, 1 H 2.46
3 Sr 0.4941 0.1986 0.7654  1 N 2.27, 1 H 2.46
4 Sr 0.5059 0.8014 0.2346  1 N 2.27, 1 H 2.46
5 Sr 0.8014 0.5059 0.2346  1 N 2.27, 1 H 2.46
6 Sr 0.8964 0.8964 0.7194  2 N 2.37-2.42, 1 H 2.50
7 H 0.1825 0.8175 0.0000  4 Sr 2.79-2.97
8 H 0.2617 0.7383 0.5000  2 Sr 2.46
9 H 0.3870 0.3870 0.1116  1 H 2.36, 1 Sr 2.50
10 H 0.6130 0.6130 0.8884  1 H 2.36, 1 Sr 2.50
11 H 0.7383 0.2617 0.5000  2 Sr 2.46
12 H 0.8175 0.1825 0.0000  4 Sr 2.79-2.97
13 N 0.1990 0.1990 0.6254  4 Sr 2.27-2.42
14 N 0.8010 0.8010 0.3746  4 Sr 2.27-2.42

Properties
The volume comes out at 21.94 Å³ per atom. The space group is C2/m, No. 12. The total energy comes out at -26.09 eV per formula unit. For the energy above the most stable polymorph in this dataset, the calculation gives 106 kJ/mol of formula units.